Entry 1:
First-principles (meta-GGA SCAN) data for a crystal of AlFe relaxed with PBEsol, as listed in the Alexandria database.

Geometry as POSCAR:
```
AlFe
1.0
2.746 0.000 0.000
0.000 4.086 -0.027
-1.373 -1.582 4.214
Fe Al
2 2
direct
0.637 0.858 0.274
0.363 0.142 0.726
0.889 0.662 0.779
0.111 0.338 0.221
```

---

Entry 2:
First-principles (meta-GGA SCAN) data for a crystal of AlFe2 relaxed with PBEsol, as listed in the Alexandria database.

Geometry as POSCAR:
```
AlFe2
1.0
4.645 0.000 0.000
2.323 4.023 0.000
2.323 1.341 3.793
Fe Al
4 2
direct
0.625 0.125 0.125
0.125 0.125 0.125
0.125 0.125 0.625
0.125 0.625 0.125
0.500 0.500 0.500
0.750 0.750 0.750
```

---

Entry 3:
First-principles (meta-GGA SCAN) data for a crystal of Al12Fe7 relaxed with PBEsol, as listed in the Alexandria database.

Geometry as POSCAR:
```
Al12Fe7
1.0
-2.001 -4.063 1.425
4.421 -3.829 -2.319
3.291 -1.548 7.872
Al Fe
12 7
direct
0.005 0.296 0.177
0.961 0.871 0.292
0.995 0.704 0.823
0.313 0.663 0.032
0.399 0.813 0.486
0.601 0.187 0.514
0.588 0.537 0.699
0.511 0.989 0.832
0.412 0.463 0.301
0.039 0.129 0.708
0.687 0.337 0.968
0.489 0.011 0.168
0.222 0.347 0.886
0.142 0.155 0.417
0.163 0.478 0.584
0.000 0.000 0.000
0.858 0.845 0.583
0.778 0.653 0.114
0.837 0.522 0.416
```

---

Q: Which raw total energy values were calculated for the entries above? A: -52.91 -88.82 -225.97, in eV per cell.